No. 1
A plane-wave DFT calculation with GGA-PBE was carried out for a relaxed GaSnMo crystal.

a b c (Å): 5.3878 5.3878 5.7663
angles (deg): 117.11 117.11 61.39
Positions (direct):
Ga  0.0000  0.5000  0.0000
Ga  0.5000  0.0000  0.0000
Sn  0.1063  0.1063  0.3639
Sn  0.8937  0.8937  0.6361
Mo  0.4713  0.4713  0.7799
Mo  0.5287  0.5287  0.2201

Calculated values
- excess energy over the best structure of this formula in the dataset (meV per atom) = 0

No. 2
A plane-wave DFT calculation with GGA-PBE was carried out for a relaxed Ga3SnMo crystal.

a b c (Å): 4.9299 4.9299 4.9299
angles (deg): 90.00 90.00 90.00
Positions (direct):
Ga  0.0000  0.0000  0.5000
Ga  0.0000  0.5000  0.0000
Ga  0.5000  0.0000  0.0000
Sn  0.5000  0.5000  0.5000
Mo  0.0000  0.0000  0.0000

Calculated values
- excess energy over the best structure of this formula in the dataset (meV per atom) = 0

No. 3
A plane-wave DFT calculation with GGA-PBE was carried out for a relaxed GaSnMo crystal.

a b c (Å): 4.6438 4.6438 2.9569
angles (deg): 90.00 90.00 120.00
Positions (direct):
Ga  0.0000  0.0000  0.0000
Sn  0.3333  0.6667  0.5000
Mo  0.6667  0.3333  0.0000

Calculated values
- excess energy over the best structure of this formula in the dataset (meV per atom) = 80

No. 4
A plane-wave DFT calculation with GGA-PBE was carried out for a relaxed SrGa3Mo crystal.

a b c (Å): 5.3542 5.3542 5.3542
angles (deg): 90.00 90.00 90.00
Positions (direct):
Sr  0.0000  0.0000  0.0000
Ga  0.0000  0.0000  0.5000
Ga  0.0000  0.5000  0.0000
Ga  0.5000  0.0000  0.0000
Mo  0.5000  0.5000  0.5000

Calculated values
- excess energy over the best structure of this formula in the dataset (meV per atom) = 2215

No. 5
A plane-wave DFT calculation with GGA-PBE was carried out for a relaxed SrGaMo2 crystal.

a b c (Å): 10.1395 10.1395 10.1395
angles (deg): 153.28 153.28 38.15
Positions (direct):
Sr  0.0000  0.0000  0.0000
Sr  0.7500  0.2500  0.5000
Ga  0.2500  0.7500  0.5000
Ga  0.5000  0.5000  0.0000
Mo  0.3512  0.6250  0.2262
Mo  0.3750  0.6012  0.7262
Mo  0.3988  0.1250  0.7738
Mo  0.8750  0.6488  0.2738

No. 6
A plane-wave DFT calculation with GGA-PBE was carried out for a relaxed SrGaMo3 crystal.

a b c (Å): 4.8064 4.8064 4.8064
angles (deg): 90.00 90.00 90.00
Positions (direct):
Sr  0.0000  0.0000  0.0000
Ga  0.5000  0.5000  0.5000
Mo  0.0000  0.5000  0.5000
Mo  0.5000  0.0000  0.5000
Mo  0.5000  0.5000  0.0000

Calculated values
- excess energy over the best structure of this formula in the dataset (meV per atom) = 0

No. 7
A plane-wave DFT calculation with GGA-PBE was carried out for a relaxed Sr3GaMo crystal.

a b c (Å): 6.0702 6.0702 6.0702
angles (deg): 90.00 90.00 90.00
Positions (direct):
Sr  0.0000  0.0000  0.5000
Sr  0.0000  0.5000  0.0000
Sr  0.5000  0.0000  0.0000
Ga  0.0000  0.0000  0.0000
Mo  0.5000  0.5000  0.5000

Calculated values
- excess energy over the best structure of this formula in the dataset (meV per atom) = 0

No. 8
A plane-wave DFT calculation with GGA-PBE was carried out for a relaxed SrGa2Mo2 crystal.

a b c (Å): 7.4963 7.4963 3.3327
angles (deg): 90.00 90.00 90.00
Positions (direct):
Sr  0.0000  0.0000  0.0000
Sr  0.5000  0.5000  0.0000
Ga  0.1242  0.3758  0.0000
Ga  0.3758  0.8758  0.0000
Ga  0.6242  0.1242  0.0000
Ga  0.8758  0.6242  0.0000
Mo  0.1635  0.6635  0.5000
Mo  0.3365  0.1635  0.5000
Mo  0.6635  0.8365  0.5000
Mo  0.8365  0.3365  0.5000

no.,DFT total energy (eV per atom),ΔH_f (0 K) (eV per formula unit)
1,-5.726,0.68
2,-4.399,1.92
3,-5.645,0.92
4,-2.316,10.01
5,-5.817,3.10
6,-6.037,7.02
7,-2.975,4.03
8,-5.534,1.73